! GGA-PBE Li2NdSm2In2, optimized geometry; values from VASP
&SYSTEM
  ibrav = 0, nat = 7, ntyp = 4
/
ATOMIC_SPECIES
Li 6.94 Li.upf
Nd 144.24 Nd.upf
Sm 150.36 Sm.upf
In 114.82 In.upf
CELL_PARAMETERS angstrom
2.4753 1.4291 8.8870
-2.4753 1.4291 8.8870
0.0000 -2.8583 8.8870
ATOMIC_POSITIONS crystal
Li 0.1036 0.1036 0.1036
Li 0.8964 0.8964 0.8964
Nd 0.5000 0.5000 0.5000
Sm 0.3723 0.3723 0.3723
Sm 0.6277 0.6277 0.6277
In 0.2378 0.2378 0.2378
In 0.7622 0.7622 0.7622
! - Energy of formation from the pure elements: -0.25 eV/atom
! - Final energy: -3.604 eV/atom

! GGA-PBE TlAg6Br8, optimized geometry; values from VASP
&SYSTEM
  ibrav = 0, nat = 15, ntyp = 3
/
ATOMIC_SPECIES
Tl 204.38 Tl.upf
Ag 107.87 Ag.upf
Br 79.90 Br.upf
CELL_PARAMETERS angstrom
5.8491 3.3770 3.5869
-5.8491 3.3770 3.5869
0.0000 -6.7540 3.5869
ATOMIC_POSITIONS crystal
Tl 0.0000 0.0000 0.0000
Ag 0.0798 0.5405 0.3296
Ag 0.3296 0.0798 0.5405
Ag 0.4595 0.6704 0.9202
Ag 0.5405 0.3296 0.0798
Ag 0.6704 0.9202 0.4595
Ag 0.9202 0.4595 0.6704
Br 0.1925 0.7885 0.6715
Br 0.2115 0.3285 0.8075
Br 0.3170 0.3170 0.3170
Br 0.3285 0.8075 0.2115
Br 0.6715 0.1925 0.7885
Br 0.6830 0.6830 0.6830
Br 0.7885 0.6715 0.1925
Br 0.8075 0.2115 0.3284
! - Final energy: -2.550 eV/atom

! GGA-PBE ZrScPt2, optimized geometry; values from VASP
&SYSTEM
  ibrav = 0, nat = 8, ntyp = 3
/
ATOMIC_SPECIES
Zr 91.22 Zr.upf
Sc 44.96 Sc.upf
Pt 195.08 Pt.upf
CELL_PARAMETERS angstrom
-3.6855 3.6855 2.8914
3.6855 -3.6855 2.8914
3.6855 3.6855 -2.8914
ATOMIC_POSITIONS crystal
Zr 0.0000 0.0000 0.0000
Zr 0.7500 0.2500 0.5000
Sc 0.2500 0.7500 0.5000
Sc 0.5000 0.5000 0.0000
Pt 0.1265 0.6250 0.0015
Pt 0.3750 0.3765 0.5015
Pt 0.6235 0.1250 0.9985
Pt 0.8750 0.8735 0.4985
! - Energy of formation from the pure elements: -0.63 eV/atom
! - Final energy: -7.371 eV/atom

! GGA-PBE Cs2Ce2NdSe6, optimized geometry; values from VASP
&SYSTEM
  ibrav = 0, nat = 11, ntyp = 4
/
ATOMIC_SPECIES
Cs 132.91 Cs.upf
Ce 140.12 Ce.upf
Nd 144.24 Nd.upf
Se 78.96 Se.upf
CELL_PARAMETERS angstrom
3.7496 -6.5052 0.0000
3.7496 6.5052 0.0000
-2.4616 0.0000 8.5327
ATOMIC_POSITIONS crystal
Cs 0.1655 0.8345 0.0000
Cs 0.8345 0.1655 0.0000
Ce 0.3339 0.6661 0.5000
Ce 0.6661 0.3339 0.5000
Nd 0.0000 0.0000 0.5000
Se 0.0587 0.3987 0.6830
Se 0.2774 0.2774 0.3163
Se 0.3987 0.0587 0.6830
Se 0.6013 0.9413 0.3170
Se 0.7226 0.7226 0.6837
Se 0.9413 0.6013 0.3170
! - Final energy: -5.289 eV/atom

! GGA-PBE La3PmHo3, optimized geometry; values from VASP
&SYSTEM
  ibrav = 0, nat = 7, ntyp = 3
/
ATOMIC_SPECIES
La 138.91 La.upf
Pm 145.00 Pm.upf
Ho 164.93 Ho.upf
CELL_PARAMETERS angstrom
5.3818 3.1072 2.4011
-5.3818 3.1072 2.4011
0.0000 -6.2144 2.4011
ATOMIC_POSITIONS crystal
La 0.1888 0.1888 0.6224
La 0.1888 0.6224 0.1888
La 0.6224 0.1888 0.1888
Pm 0.1551 0.1551 0.1551
Ho 0.0412 0.6812 0.6812
Ho 0.6812 0.0412 0.6812
Ho 0.6812 0.6812 0.0412
! - Energy of formation from the pure elements: 0.24 eV/atom
! - Final energy: -4.514 eV/atom

! GGA-PBE Sm8TlHg2, optimized geometry; values from VASP
&SYSTEM
  ibrav = 0, nat = 11, ntyp = 3
/
ATOMIC_SPECIES
Sm 150.36 Sm.upf
Tl 204.38 Tl.upf
Hg 200.59 Hg.upf
CELL_PARAMETERS angstrom
8.3165 -2.7125 0.0000
8.3165 2.7125 0.0000
-4.4889 0.0000 7.4681
ATOMIC_POSITIONS crystal
Sm 0.0693 0.0693 0.2202
Sm 0.1409 0.1409 0.6933
Sm 0.3185 0.3185 0.5467
Sm 0.4066 0.4066 0.0480
Sm 0.5934 0.5934 0.9520
Sm 0.6815 0.6815 0.4533
Sm 0.8591 0.8591 0.3067
Sm 0.9307 0.9307 0.7798
Tl 0.5000 0.5000 0.5000
Hg 0.2234 0.2234 0.1165
Hg 0.7766 0.7766 0.8835
! - Energy of formation from the pure elements: -0.23 eV/atom
! - Final energy: -3.935 eV/atom